ScAlCu2: optimized geometry, PBE.

Cell lengths 3.142, 3.142, 6.257 Å; angles 90.00, 90.00, 90.00 degrees
Atoms (fractional coordinates):
Sc 0.000 0.000 0.000
Al 0.500 0.500 0.314
Cu 0.000 0.000 0.523
Cu 0.500 0.500 0.733

Space-group type: P4mm, No. 99
Uncorrected energy, eV/f.u.: -19.168

---

SbCl: optimized geometry, PBE.

Cell lengths 3.304, 3.304, 5.678 Å; angles 106.68, 106.68, 89.82 degrees
Atoms (fractional coordinates):
Sb 0.000 0.000 0.000
Cl 0.772 0.772 0.536

Space-group type: Cm, No. 8
Formation energy from raw total energies, kJ per mole of atoms: -34.8

---

PrNd3Zn: optimized geometry, PBE.

Cell lengths 7.593, 7.593, 8.007 Å; angles 121.24, 121.24, 73.48 degrees
Atoms (fractional coordinates):
Pr 0.051 0.051 0.318
Pr 0.949 0.949 0.682
Nd 0.086 0.472 0.246
Nd 0.431 0.431 0.730
Nd 0.472 0.086 0.246
Nd 0.528 0.914 0.754
Nd 0.569 0.569 0.270
Nd 0.914 0.528 0.754
Zn 0.258 0.258 0.890
Zn 0.742 0.742 0.110

Space-group type: C2/m, No. 12
Uncorrected energy, eV/f.u.: -20.088

---

TbPmSc2P4: optimized geometry, PBE.

Cell lengths 6.773, 3.930, 6.802 Å; angles 90.00, 109.57, 90.00 degrees
Atoms (fractional coordinates):
Tb 0.000 0.000 0.000
Pm 0.000 0.500 0.500
Sc 0.500 0.000 0.500
Sc 0.500 0.500 0.000
P 0.269 0.500 0.253
P 0.271 0.000 0.760
P 0.729 0.000 0.240
P 0.731 0.500 0.747

Space-group type: P2/m, No. 10
Uncorrected energy, eV/f.u.: -55.770

---

Going through the records in order, we get Fermi-level density of states values of 2.60; 0.48; 14.86; 0.90 states/eV per cell.